# 1
# SrCdTe2

A PBEsol-optimized structure of SrCdTe2 (SCAN, Alexandria via LeMat-Bulk).

a = 4.461 Å, b = 4.461 Å, c = 6.500 Å
α = 90.00°, β = 90.00°, γ = 90.00°
Space group P4mm (No. 99)
Inequivalent atoms, fractional coordinates:
Sr1 0.000 0.000 0.000 [1 per cell]
Cd1 0.500 0.500 0.567 [1 per cell]
Te1 0.000 0.000 0.502 [1 per cell]
Te2 0.500 0.500 0.016 [1 per cell]

Computed properties:
ρ (g/cm3): 5.8
Energy relative to the elements, uncorrected (eV per atom): -1.033
DOS(E_F) (states/eV/atom): 0.307
Calculated volume (Å³ per atom): 32.34


# 2
# Tc2AgRu

A PBEsol-optimized structure of Tc2AgRu (SCAN, Alexandria via LeMat-Bulk).

a = 2.785 Å, b = 4.587 Å, c = 9.285 Å
α = 90.00°, β = 90.00°, γ = 90.00°
Space group Imm2 (No. 44)
Inequivalent atoms, fractional coordinates:
Tc1 0.000 0.000 0.000 [2 per cell]
Tc2 0.000 0.500 0.275 [2 per cell]
Ag1 0.000 0.500 0.780 [2 per cell]
Ru1 0.000 0.000 0.552 [2 per cell]

Computed properties:
ρ (g/cm3): 11.3
DOS(E_F) (states/eV/atom): 0.756
Energy of formation from the pure elements (eV/atom): 0.52
Calculated volume (Å³ per atom): 14.83


# 3
# SrOs2Pt

A PBEsol-optimized structure of SrOs2Pt (SCAN, Alexandria via LeMat-Bulk).

a = 3.656 Å, b = 4.884 Å, c = 8.476 Å
α = 90.00°, β = 90.00°, γ = 90.00°
Space group Imm2 (No. 44)
Inequivalent atoms, fractional coordinates:
Sr1 0.000 0.000 0.000 [2 per cell]
Os1 0.000 0.000 0.478 [2 per cell]
Os2 0.000 0.500 0.793 [2 per cell]
Pt1 0.000 0.500 0.209 [2 per cell]

Computed properties:
ρ (g/cm3): 14.5
DOS(E_F) (states/eV/atom): 0.702
Energy of formation from the pure elements (eV/atom): 0.71
Calculated volume (Å³ per atom): 18.92


# 4
# TaHgTe4

A PBEsol-optimized structure of TaHgTe4 (SCAN, Alexandria via LeMat-Bulk).

a = 8.689 Å, b = 8.689 Å, c = 8.689 Å
α = 90.00°, β = 90.00°, γ = 90.00°
Space group F-43m (No. 216)
Inequivalent atoms, fractional coordinates:
Ta1 0.000 0.000 0.000 [4 per cell]
Hg1 0.250 0.250 0.750 [4 per cell]
Te1 0.126 0.126 0.374 [16 per cell]

Computed properties:
ρ (g/cm3): 9.0
Energy relative to the elements, uncorrected (eV per atom): 1.028
DOS(E_F) (states/eV/atom): 0.645
Calculated volume (Å³ per atom): 27.33


# 5
# K2RhCl

A PBEsol-optimized structure of K2RhCl (SCAN, Alexandria via LeMat-Bulk).

a = 11.692 Å, b = 3.334 Å, c = 5.404 Å
α = 90.00°, β = 101.93°, γ = 90.00°
Space group Cm (No. 8)
Inequivalent atoms, fractional coordinates:
K1 0.000 0.000 0.000 [2 per cell]
K2 0.227 0.500 0.575 [2 per cell]
Rh1 0.445 0.000 0.452 [2 per cell]
Cl1 0.280 0.000 0.109 [2 per cell]

Computed properties:
ρ (g/cm3): 3.5
Energy relative to the elements, uncorrected (eV per atom): -0.325
DOS(E_F) (states/eV/atom): 0.373
Calculated volume (Å³ per atom): 25.76


# 6
# NaSb2Pd2

A PBEsol-optimized structure of NaSb2Pd2 (SCAN, Alexandria via LeMat-Bulk).

a = 7.914 Å, b = 7.914 Å, c = 3.208 Å
α = 90.00°, β = 90.00°, γ = 90.00°
Space group P4/mbm (No. 127)
Inequivalent atoms, fractional coordinates:
Na1 0.000 0.000 0.000 [2 per cell]
Sb1 0.162 0.338 0.500 [4 per cell]
Pd1 0.129 0.629 0.000 [4 per cell]

Computed properties:
ρ (g/cm3): 7.9
Energy relative to the elements, uncorrected (eV per atom): -0.387
DOS(E_F) (states/eV/atom): 0.438
Calculated volume (Å³ per atom): 20.09


# 7
# LaCrTe3

A PBEsol-optimized structure of LaCrTe3 (SCAN, Alexandria via LeMat-Bulk).

a = 5.209 Å, b = 5.209 Å, c = 5.209 Å
α = 90.00°, β = 90.00°, γ = 90.00°
Space group Pm-3m (No. 221)
Inequivalent atoms, fractional coordinates:
La1 0.000 0.000 0.000 [1 per cell]
Cr1 0.500 0.500 0.500 [1 per cell]
Te1 0.000 0.500 0.500 [3 per cell]

Computed properties:
ρ (g/cm3): 6.7
Energy relative to the elements, uncorrected (eV per atom): -0.747
DOS(E_F) (states/eV/atom): 0.376
Calculated volume (Å³ per atom): 28.26


# 8
# BeAsI3

A PBEsol-optimized structure of BeAsI3 (SCAN, Alexandria via LeMat-Bulk).

a = 5.595 Å, b = 5.595 Å, c = 5.595 Å
α = 90.00°, β = 90.00°, γ = 90.00°
Space group Pm-3m (No. 221)
Inequivalent atoms, fractional coordinates:
Be1 0.000 0.000 0.000 [1 per cell]
As1 0.500 0.500 0.500 [1 per cell]
I1 0.000 0.500 0.500 [3 per cell]

Computed properties:
ρ (g/cm3): 4.4
Energy relative to the elements, uncorrected (eV per atom): 0.634
DOS(E_F) (states/eV/atom): 0.402
Calculated volume (Å³ per atom): 35.04


# 9
# K6Ag7

A PBEsol-optimized structure of K6Ag7 (SCAN, Alexandria via LeMat-Bulk).

a = 5.6897 Å, b = 5.6897 Å, c = 42.5775 Å
α = 90.00°, β = 90.00°, γ = 120.00°
Space group R-3m (No. 166, hexagonal axes)
Inequivalent atoms, fractional coordinates:
K1 0.0000 0.0000 0.0668 [6 per cell]
K2 0.0000 0.0000 0.1528 [6 per cell]
K3 0.0000 0.0000 0.3004 [6 per cell]
Ag1 0.0000 0.0000 0.5000 [3 per cell]
Ag2 0.0016 0.5008 0.1097 [18 per cell]

Computed properties:
ρ (g/cm3): 4.1
DOS(E_F) (states/eV/atom): 0.308
Energy of formation from the pure elements (eV/atom): 0.06
Calculated volume (Å³ per atom): 30.61


# 10
# LaIn2Cu

A PBEsol-optimized structure of LaIn2Cu (SCAN, Alexandria via LeMat-Bulk).

a = 5.056 Å, b = 5.056 Å, c = 7.178 Å
α = 90.00°, β = 90.00°, γ = 90.00°
Space group I4/mmm (No. 139)
Inequivalent atoms, fractional coordinates:
La1 0.000 0.000 0.000 [2 per cell]
In1 0.000 0.500 0.250 [4 per cell]
Cu1 0.000 0.000 0.500 [2 per cell]

Computed properties:
ρ (g/cm3): 7.8
DOS(E_F) (states/eV/atom): 0.403
Energy of formation from the pure elements (eV/atom): -0.19
Calculated volume (Å³ per atom): 22.93


# 11
# Zr2Be2Ru

A PBEsol-optimized structure of Zr2Be2Ru (SCAN, Alexandria via LeMat-Bulk).

a = 6.430 Å, b = 6.430 Å, c = 3.502 Å
α = 90.00°, β = 90.00°, γ = 90.00°
Space group P4/mbm (No. 127)
Inequivalent atoms, fractional coordinates:
Zr1 0.181 0.319 0.000 [4 per cell]
Be1 0.117 0.617 0.500 [4 per cell]
Ru1 0.000 0.000 0.500 [2 per cell]

Computed properties:
ρ (g/cm3): 6.9
DOS(E_F) (states/eV/atom): 0.878
Energy of formation from the pure elements (eV/atom): -0.36
Calculated volume (Å³ per atom): 14.48


# 12
# CsCd3Rh

A PBEsol-optimized structure of CsCd3Rh (SCAN, Alexandria via LeMat-Bulk).

a = 5.243 Å, b = 5.243 Å, c = 5.243 Å
α = 90.00°, β = 90.00°, γ = 90.00°
Space group Pm-3m (No. 221)
Inequivalent atoms, fractional coordinates:
Cs1 0.000 0.000 0.000 [1 per cell]
Cd1 0.000 0.500 0.500 [3 per cell]
Rh1 0.500 0.500 0.500 [1 per cell]

Computed properties:
ρ (g/cm3): 6.6
DOS(E_F) (states/eV/atom): 0.370
Energy of formation from the pure elements (eV/atom): -0.10
Calculated volume (Å³ per atom): 28.82